Entry w
## Nd3NbO7 (PBE)

Data for a relaxed Nd3NbO7 crystal.

Properties
total magnetic moment: 0.0 μB per formula unit
calculated density: 6780 kg/m³

a b c (Å): 6.620 6.620 7.663
angles (deg): 90.00 90.00 68.41
Atoms (fractional coordinates):
Nb1 0.500 0.500 0.000
Nb2 0.500 0.500 0.500
Nd1 0.000 0.000 0.000
Nd2 0.475 0.075 0.250
Nd3 0.925 0.525 0.250
Nd4 0.000 0.000 0.500
Nd5 0.075 0.475 0.750
Nd6 0.525 0.925 0.750
O1 0.183 0.562 0.038
O2 0.438 0.817 0.038
O3 0.106 0.155 0.250
O4 0.578 0.422 0.250
O5 0.845 0.894 0.250
O6 0.183 0.562 0.462
O7 0.438 0.817 0.462
O8 0.562 0.183 0.538
O9 0.817 0.438 0.538
O10 0.155 0.106 0.750
O11 0.422 0.578 0.750
O12 0.894 0.845 0.750
O13 0.562 0.183 0.962
O14 0.817 0.438 0.962

---

Entry x
## Nd3NbO7 (PBE)

Data for a relaxed Nd3NbO7 crystal.

Properties
total magnetic moment: 0.0 μB per formula unit
calculated density: 6711 kg/m³

a b c (Å): 7.610 10.937 7.582
angles (deg): 90.00 90.00 90.00
Atoms (fractional coordinates):
Nb1 0.505 0.750 0.246
Nb2 0.005 0.750 0.254
Nb3 0.995 0.250 0.746
Nb4 0.495 0.250 0.754
Nd1 0.751 0.525 0.049
Nd2 0.751 0.975 0.049
Nd3 0.988 0.250 0.211
Nd4 0.488 0.250 0.289
Nd5 0.251 0.525 0.451
Nd6 0.251 0.975 0.451
Nd7 0.749 0.025 0.549
Nd8 0.749 0.475 0.549
Nd9 0.512 0.750 0.711
Nd10 0.012 0.750 0.789
Nd11 0.249 0.025 0.951
Nd12 0.249 0.475 0.951
O1 0.039 0.626 0.051
O2 0.039 0.874 0.051
O3 0.454 0.614 0.089
O4 0.454 0.886 0.089
O5 0.748 0.750 0.165
O6 0.243 0.118 0.226
O7 0.243 0.382 0.226
O8 0.743 0.118 0.274
O9 0.743 0.382 0.274
O10 0.248 0.750 0.335
O11 0.954 0.614 0.411
O12 0.954 0.886 0.411
O13 0.539 0.626 0.449
O14 0.539 0.874 0.449
O15 0.461 0.126 0.551
O16 0.461 0.374 0.551
O17 0.046 0.114 0.589
O18 0.046 0.386 0.589
O19 0.752 0.250 0.665
O20 0.257 0.618 0.726
O21 0.257 0.882 0.726
O22 0.757 0.618 0.774
O23 0.757 0.882 0.774
O24 0.252 0.250 0.835
O25 0.546 0.114 0.911
O26 0.546 0.386 0.911
O27 0.961 0.126 0.949
O28 0.961 0.374 0.949

---

Bottom line: entry x, by a margin of 1.1 kJ/mol of atoms.

---

Entry w
## NdNbPO (PBE)

Data for a relaxed NdNbPO crystal.

Properties
total magnetic moment: 0.0 μB per formula unit
calculated density: 6884 kg/m³

a b c (Å): 4.196 4.196 7.786
angles (deg): 90.00 90.00 90.00
Atoms (fractional coordinates):
Nb1 0.250 0.250 0.093
Nb2 0.750 0.750 0.907
Nd1 0.750 0.250 0.500
Nd2 0.250 0.750 0.500
O1 0.750 0.250 0.000
O2 0.250 0.750 0.000
P1 0.750 0.750 0.243
P2 0.250 0.250 0.757

---

Entry x
## NdNbPO (PBE)

Data for a relaxed NdNbPO crystal.

Properties
total magnetic moment: 0.0 μB per formula unit
calculated density: 6153 kg/m³

a b c (Å): 3.883 5.953 6.634
angles (deg): 90.00 90.00 90.00
Atoms (fractional coordinates):
Nb1 0.000 0.783 0.478
Nb2 0.000 0.217 0.978
Nd1 0.500 0.736 0.070
Nd2 0.500 0.264 0.570
O1 0.500 0.894 0.429
O2 0.500 0.106 0.929
P1 0.000 0.442 0.277
P2 0.000 0.558 0.777

---

Bottom line: entry x, by a margin of 76.1 kJ/mol of atoms.

---

Entry w
## NdNbPO (PBE)

Data for a relaxed NdNbPO crystal.

Properties
total magnetic moment: 0.0 μB per formula unit
calculated density: 5837 kg/m³

a b c (Å): 4.642 5.979 5.825
angles (deg): 90.00 90.00 90.00
Atoms (fractional coordinates):
Nb1 0.000 0.847 0.012
Nb2 0.000 0.153 0.512
Nd1 0.500 0.742 0.435
Nd2 0.500 0.258 0.935
O1 0.000 0.840 0.364
O2 0.000 0.160 0.864
P1 0.500 0.250 0.442
P2 0.500 0.750 0.942

---

Entry x
## NdNbPO (PBE)

Data for a relaxed NdNbPO crystal.

Properties
total magnetic moment: 0.0 μB per formula unit
calculated density: 6489 kg/m³

a b c (Å): 4.016 4.016 9.015
angles (deg): 90.00 90.00 90.00
Atoms (fractional coordinates):
Nb1 0.000 0.000 0.500
Nb2 0.500 0.500 0.500
Nd1 0.000 0.500 0.132
Nd2 0.500 0.000 0.868
O1 0.000 0.000 0.000
O2 0.500 0.500 0.000
P1 0.500 0.000 0.321
P2 0.000 0.500 0.679

---

Bottom line: entry x, by a margin of 43.9 kJ/mol of atoms.